VASP calculation (PBE-GGA) on crystalline LiTbPm2Se5 at its relaxed geometry.

Lattice parameters (Å, degrees): 8.8706 8.8706 12.4519 90.00 90.00 153.08
Fractional coordinates of all 18 atoms:
Li  0.0136  0.9864  0.5000
Li  0.9864  0.0136  0.0000
Tb  0.3037  0.6963  0.0203
Tb  0.6963  0.3037  0.5203
Pm  0.3753  0.6247  0.3147
Pm  0.3921  0.6079  0.7035
Pm  0.6079  0.3921  0.2035
Pm  0.6247  0.3753  0.8147
Se  0.0007  0.9993  0.3027
Se  0.1376  0.8624  0.0164
Se  0.1921  0.8079  0.3596
Se  0.2140  0.7860  0.6804
Se  0.4539  0.5461  0.0915
Se  0.5461  0.4539  0.5915
Se  0.7860  0.2140  0.1804
Se  0.8079  0.1921  0.8596
Se  0.8624  0.1376  0.5164
Se  0.9993  0.0007  0.8027

Crystal system: orthorhombic
Total DFT energy (no corrections) (eV per atom): -5.462
Spin magnetization (μB per atom): 0.00